(1)
This record from Alexandria describes LiTlS2 after structural relaxation. The functional is PBE.

Results
Crystal system   orthorhombic
Formation energy without anion corrections   -0.527 eV per atom

a = 6.2009 Å, b = 3.9224 Å, c = 15.9596 Å
α = 90.00°, β = 90.00°, γ = 90.00°
Closest atoms and distances in Å follow each position.
Space group Pnma (No. 62)
Symmetry-distinct sites (fractional):
Li 0.0833 0.2500 0.2011  3 S 2.54
Tl 0.0407 0.7500 0.3981  3 S 2.45-2.58
S 0.1767 0.2500 0.7909  1 Tl 2.45, 2 Li 2.54
S 0.2116 0.7500 0.5629  1 Li 2.54, 3 Tl 2.58-2.84

=====

(2)
This record from Alexandria describes Tb2PmErTm2 after structural relaxation. The functional is PBE.

Results
Calculated formation energy   0.28 eV/atom
Crystal system   orthorhombic

a = 6.5647 Å, b = 17.5013 Å, c = 3.3726 Å
α = 90.00°, β = 90.00°, γ = 90.00°
Closest atoms and distances in Å follow each position.
Space group Pnnm (No. 58)
Symmetry-distinct sites (fractional):
Tb 0.2273 0.1504 0.0000  1 Pm 3.18, 4 Tm 3.30-3.40, 2 Tb 3.37, 2 Er 3.46
Pm 0.0000 0.5000 0.5000  2 Tb 3.18, 2 Pm 3.37, 2 Tm 3.51
Er 0.0000 0.0000 0.5000  2 Er 3.37, 4 Tb 3.46, 4 Pm 3.69
Tm 0.2309 0.3193 0.5000  4 Tb 3.30-3.40, 2 Tm 3.37, 1 Pm 3.51

=====

(3)
This record from Alexandria describes AlNiP2C after structural relaxation. The functional is PBE.

Results
Calculated formation energy   -0.05 eV/atom
Crystal system   monoclinic
ΔE to the lowest computed polymorph   76 meV/atom

a = 5.7898 Å, b = 3.1709 Å, c = 7.5018 Å
α = 90.00°, β = 106.43°, γ = 90.00°
Closest atoms and distances in Å follow each position.
Space group Cm (No. 8)
Symmetry-distinct sites (fractional):
Al 0.0000 0.0000 0.0000  3 C 2.00-2.01
Ni 0.4635 0.0000 0.4944  6 P 2.25-2.34
P 0.2015 0.0000 0.6665  1 C 1.71
P 0.2161 0.5000 0.3028  3 Ni 2.32-2.34
C 0.2889 0.0000 0.9035  1 P 1.71

=====

(4)
This record from Alexandria describes Y2BiCl2 after structural relaxation. The functional is PBE.

Results
Crystal system   tetragonal
Formation energy without anion corrections   -1.390 eV per atom

a = 4.3500 Å, b = 4.3500 Å, c = 13.8860 Å
α = 90.00°, β = 90.00°, γ = 90.00°
Closest atoms and distances in Å follow each position.
Space group I4/mmm (No. 139)
Symmetry-distinct sites (fractional):
Y 0.0000 0.0000 0.1191  4 Cl 2.83
Bi 0.0000 0.0000 0.5000  8 Y 3.49
Cl 0.0000 0.5000 0.2500  4 Y 2.83, 4 Cl 3.08

=====

(5)
This record from Alexandria describes Li2AgRh2 after structural relaxation. The functional is PBE.

Results
Calculated formation energy   0.10 eV/atom
Crystal system   tetragonal
ΔE to the lowest computed polymorph   0 meV/atom

a = 7.1895 Å, b = 7.1895 Å, c = 2.7121 Å
α = 90.00°, β = 90.00°, γ = 90.00°
Closest atoms and distances in Å follow each position.
Space group P4/mbm (No. 127)
Symmetry-distinct sites (fractional):
Li 0.1637 0.3363 0.0000  6 Rh 2.49-2.53, 2 Ag 2.69, 2 Li 2.71
Ag 0.0000 0.0000 0.0000  4 Li 2.69, 2 Ag 2.71
Rh 0.1310 0.6310 0.5000  6 Li 2.49-2.53, 3 Rh 2.66-2.71

=====

(6)
This record from Alexandria describes Sm3Dy5Er2 after structural relaxation. The functional is PBE.

Results
Calculated formation energy   0.20 eV/atom
Crystal system   monoclinic
ΔE to the lowest computed polymorph   0 meV/atom

a = 10.6864 Å, b = 15.7861 Å, c = 9.4310 Å
α = 90.00°, β = 124.23°, γ = 90.00°
Closest atoms and distances in Å follow each position.
Space group C2/c (No. 15)
Symmetry-distinct sites (fractional):
Sm 0.0000 0.2336 0.2500  3 Dy 3.27-3.60, 4 Er 3.30-3.56, 2 Sm 3.51
Sm 0.1426 0.1241 0.0455  1 Er 3.18, 5 Dy 3.28-3.49, 1 Sm 3.51
Dy 0.0000 0.0265 0.2500  5 Sm 3.27-3.42, 2 Er 3.38, 2 Dy 3.48
Dy 0.0000 0.2716 0.7500  1 Dy 3.12, 2 Sm 3.28
Dy 0.0000 0.4692 0.7500  1 Dy 3.12, 4 Er 3.30-3.44, 2 Sm 3.49
Dy 0.2359 0.3872 0.2249  2 Er 3.45-3.60, 3 Sm 3.46-3.64, 3 Dy 3.48-3.68
Er 0.1542 0.3823 0.5472  2 Sm 3.18-3.30, 4 Dy 3.30-3.45

=====

(7)
This record from Alexandria describes RbHg2Pd after structural relaxation. The functional is PBE.

Results
Calculated formation energy   -0.19 eV/atom
Crystal system   trigonal
ΔE to the lowest computed polymorph   9 meV/atom

a = 4.8135 Å, b = 4.8135 Å, c = 18.9584 Å
α = 90.00°, β = 90.00°, γ = 120.00°
Closest atoms and distances in Å follow each position.
Space group R3m (No. 160, hexagonal axes)
Symmetry-distinct sites (fractional):
Rb 0.0000 0.0000 0.0000  1 Pd 3.45, 7 Hg 3.68-3.80
Hg 0.0000 0.0000 0.5394  3 Pd 2.82, 3 Hg 3.07
Hg 0.0000 0.0000 0.8034  3 Pd 2.91, 3 Hg 3.07
Pd 0.0000 0.0000 0.1818  6 Hg 2.82-2.91

=====

(8)
This record from Alexandria describes NaLi2SN after structural relaxation. The functional is PBE.

Results
Crystal system   tetragonal
Formation energy without anion corrections   0.296 eV per atom

a = 4.5495 Å, b = 4.5495 Å, c = 3.9439 Å
α = 90.00°, β = 90.00°, γ = 90.00°
Closest atoms and distances in Å follow each position.
Space group P4/mmm (No. 123)
Symmetry-distinct sites (fractional):
Na 0.0000 0.0000 0.0000  8 Li 3.01, 4 N 3.22
Li 0.0000 0.5000 0.5000  2 S 2.27
S 0.5000 0.5000 0.5000  2 N 1.97
N 0.5000 0.5000 0.0000  2 S 1.97

=====

(9)
This record from Alexandria describes Mg4PAu after structural relaxation. The functional is PBE.

Results
Calculated formation energy   0.17 eV/atom
Crystal system   cubic

a = 7.8890 Å, b = 7.8890 Å, c = 7.8890 Å
α = 90.00°, β = 90.00°, γ = 90.00°
Closest atoms and distances in Å follow each position.
Space group F-43m (No. 216)
Symmetry-distinct sites (fractional):
Mg 0.1246 0.1246 0.1246  6 Mg 2.78-2.80
P 0.2500 0.2500 0.7500  12 Mg 3.27, 4 Au 3.42
Au 0.0000 0.0000 0.5000  12 Mg 3.27, 4 P 3.42

=====

(10)
This record from Alexandria describes ZrPIr after structural relaxation. The functional is PBE.

Results
Calculated formation energy   -0.59 eV/atom
Crystal system   orthorhombic

a = 4.0650 Å, b = 4.3573 Å, c = 10.7266 Å
α = 90.00°, β = 90.00°, γ = 90.00°
Closest atoms and distances in Å follow each position.
Space group Fmm2 (No. 42)
Symmetry-distinct sites (fractional):
Zr 0.0000 0.0000 0.0000  4 P 2.74-2.85, 4 Zr 2.98, 2 Ir 2.99
P 0.0000 0.0000 0.3292  4 Ir 2.44-2.56
Ir 0.0000 0.0000 0.7040  4 P 2.44-2.56

=====

(11)
This record from Alexandria describes ScSn3B after structural relaxation. The functional is PBE.

Results
Calculated formation energy   0.45 eV/atom
Crystal system   cubic
ΔE to the lowest computed polymorph   0 meV/atom

a = 4.8591 Å, b = 4.8591 Å, c = 4.8591 Å
α = 90.00°, β = 90.00°, γ = 90.00°
Closest atoms and distances in Å follow each position.
Space group Pm-3m (No. 221)
Symmetry-distinct sites (fractional):
Sc 0.0000 0.0000 0.0000  12 Sn 3.44
Sn 0.0000 0.5000 0.5000  2 B 2.43
B 0.5000 0.5000 0.5000  6 Sn 2.43

=====

(12)
This record from Alexandria describes LaCoSi after structural relaxation. The functional is PBE.

Results
Crystal system   cubic
Formation energy without anion corrections   0.701 eV per atom

a = 6.6964 Å, b = 6.6964 Å, c = 6.6964 Å
α = 90.00°, β = 90.00°, γ = 90.00°
Closest atoms and distances in Å follow each position.
Space group F-43m (No. 216)
Symmetry-distinct sites (fractional):
La 0.0000 0.0000 0.0000  4 Co 2.90, 4 Si 2.90
Co 0.2500 0.2500 0.2500  4 La 2.90
Si 0.2500 0.2500 0.7500  4 La 2.90